VCrTc | the Alexandria database | PBE | optimized geometry; formation energy from the elements = 21 meV/atom; total moment = 0.0 μB per cell
1.0
5.612 0.000 0.000
0.000 5.070 0.000
-0.657 0.000 5.647
V Cr Tc
4 4 4
Direct
0.089 0.134 0.333
0.089 0.366 0.833
0.911 0.634 0.167
0.911 0.866 0.667
0.418 0.111 0.658
0.418 0.389 0.158
0.582 0.611 0.842
0.582 0.889 0.342
0.255 0.624 0.502
0.255 0.876 0.002
0.745 0.124 0.998
0.745 0.376 0.498